PBE+U Ca4CoO6, relaxed; uncorrected energy = -6.24 eV/atom; calculated density = 3.9 g/cm³; total magnetization = 1.00 μB per formula unit
1.0
6.476 -0.045 -0.009
0.009 6.476 -0.009
0.046 0.045 6.476
O Co Ca
12 2 8
direct
0.785 0.570 0.556
0.056 0.930 0.285
0.070 0.285 0.056
0.285 0.944 0.930
0.556 0.215 0.570
0.944 0.070 0.715
0.570 0.444 0.215
0.215 0.430 0.444
0.930 0.715 0.944
0.444 0.785 0.430
0.715 0.056 0.070
0.430 0.556 0.785
0.500 0.500 0.500
0.000 0.000 0.000
0.619 0.881 0.750
0.119 0.750 0.619
0.381 0.119 0.250
0.750 0.381 0.881
0.250 0.250 0.750
0.881 0.250 0.381
0.250 0.619 0.119
0.750 0.750 0.250